# 1
The following is a DFT calculation (GGA-PBE) of an optimized crystal structure of Zr3PtC.

Cell: 4.494 4.494 4.494 Å, 90.00 90.00 90.00°
Fractional positions:
Zr (0.000, 0.000, 0.500)
Zr (0.000, 0.500, 0.000)
Zr (0.500, 0.000, 0.000)
Pt (0.500, 0.500, 0.500)
C (0.000, 0.000, 0.000)

Calculated values
Symmetry ... No. 221
ΔE to the lowest computed polymorph ... 0.191 eV per atom
V ... 90.78 Å³ per cell
Formation energy ... -642 meV/atom

***

# 2
The following is a DFT calculation (GGA-PBE) of an optimized crystal structure of Hf2AlF.

Cell: 4.658 4.658 4.658 Å, 60.00 60.00 60.00°
Fractional positions:
Hf (0.250, 0.250, 0.250)
Hf (0.750, 0.750, 0.750)
Al (0.000, 0.000, 0.000)
F (0.500, 0.500, 0.500)

Calculated values
Symmetry ... No. 225
Formation energy (no corrections) ... -0.46 eV/atom
ΔE to the lowest computed polymorph ... 0.000 eV per atom
V ... 71.45 Å³ per cell

***

# 3
The following is a DFT calculation (GGA-PBE) of an optimized crystal structure of SrMg2Ni.

Cell: 4.297 4.314 5.192 Å, 90.00 90.00 90.00°
Fractional positions:
Sr (0.000, 0.000, 0.000)
Mg (0.000, 0.500, 0.500)
Mg (0.500, 0.000, 0.500)
Ni (0.500, 0.500, 0.000)

Calculated values
Symmetry ... No. 47
V ... 96.23 Å³ per cell
Formation energy ... 186 meV/atom

***

# 4
The following is a DFT calculation (GGA-PBE) of an optimized crystal structure of LaPm2Pr6Th.

Cell: 8.961 8.961 10.195 Å, 95.44 95.44 117.18°
Fractional positions:
La (0.097, 0.903, 0.750)
La (0.903, 0.097, 0.250)
Pm (0.222, 0.311, 0.955)
Pm (0.311, 0.222, 0.455)
Pm (0.689, 0.778, 0.545)
Pm (0.778, 0.689, 0.045)
Pr (0.006, 0.800, 0.378)
Pr (0.079, 0.518, 0.184)
Pr (0.200, 0.994, 0.122)
Pr (0.249, 0.607, 0.555)
Pr (0.393, 0.751, 0.945)
Pr (0.482, 0.921, 0.316)
Pr (0.518, 0.079, 0.684)
Pr (0.607, 0.249, 0.055)
Pr (0.751, 0.393, 0.445)
Pr (0.800, 0.006, 0.878)
Pr (0.921, 0.482, 0.816)
Pr (0.994, 0.200, 0.622)
Th (0.480, 0.520, 0.250)
Th (0.520, 0.480, 0.750)

Calculated values
Symmetry ... No. 15
V ... 716.07 Å³ per cell
Formation energy ... 138 meV/atom

***

# 5
The following is a DFT calculation (GGA-PBE) of an optimized crystal structure of LiTiO3.

Cell: 7.340 7.340 4.933 Å, 90.00 90.00 156.46°
Fractional positions:
Li (0.030, 0.970, 0.500)
Li (0.970, 0.030, 0.000)
Ti (0.329, 0.671, 0.458)
Ti (0.671, 0.329, 0.958)
O (0.120, 0.880, 0.184)
O (0.228, 0.772, 0.758)
O (0.443, 0.557, 0.297)
O (0.557, 0.443, 0.797)
O (0.772, 0.228, 0.258)
O (0.880, 0.120, 0.684)

Calculated values
Symmetry ... No. 36
Formation energy (no corrections) ... -2.24 eV/atom
V ... 106.17 Å³ per cell

***

# 6
The following is a DFT calculation (GGA-PBE) of an optimized crystal structure of RbHgPb3Au.

Cell: 8.904 8.904 6.837 Å, 90.00 90.00 129.47°
Fractional positions:
Rb (0.217, 0.783, 0.750)
Rb (0.783, 0.217, 0.250)
Hg (0.159, 0.841, 0.250)
Hg (0.841, 0.159, 0.750)
Pb (0.226, 0.226, 0.000)
Pb (0.226, 0.226, 0.500)
Pb (0.370, 0.630, 0.250)
Pb (0.630, 0.370, 0.750)
Pb (0.774, 0.774, 0.000)
Pb (0.774, 0.774, 0.500)
Au (0.427, 0.573, 0.750)
Au (0.573, 0.427, 0.250)

Calculated values
Symmetry ... No. 63
V ... 418.38 Å³ per cell
Formation energy ... -74 meV/atom

***

# 7
The following is a DFT calculation (GGA-PBE) of an optimized crystal structure of Li2Zn2Se3.

Cell: 9.807 9.807 7.038 Å, 110.62 110.62 80.65°
Fractional positions:
Li (0.082, 0.918, 0.750)
Li (0.229, 0.771, 0.250)
Li (0.328, 0.489, 0.967)
Li (0.489, 0.328, 0.467)
Li (0.511, 0.672, 0.533)
Li (0.672, 0.511, 0.033)
Li (0.771, 0.229, 0.750)
Li (0.918, 0.082, 0.250)
Zn (0.058, 0.581, 0.396)
Zn (0.125, 0.279, 0.110)
Zn (0.279, 0.125, 0.610)
Zn (0.419, 0.942, 0.104)
Zn (0.581, 0.058, 0.896)
Zn (0.721, 0.875, 0.390)
Zn (0.875, 0.721, 0.890)
Zn (0.942, 0.419, 0.604)
Se (0.051, 0.201, 0.711)
Se (0.106, 0.637, 0.790)
Se (0.201, 0.051, 0.211)
Se (0.284, 0.489, 0.304)
Se (0.363, 0.894, 0.710)
Se (0.489, 0.284, 0.804)
Se (0.511, 0.716, 0.196)
Se (0.637, 0.106, 0.290)
Se (0.716, 0.511, 0.696)
Se (0.799, 0.949, 0.789)
Se (0.894, 0.363, 0.210)
Se (0.949, 0.799, 0.289)

Calculated values
Symmetry ... No. 15
Formation energy (no corrections) ... -0.89 eV/atom
V ... 592.47 Å³ per cell

***

# 8
The following is a DFT calculation (GGA-PBE) of an optimized crystal structure of Hf3Ni8Au.

Cell: 4.861 4.861 7.955 Å, 90.00 90.00 120.00°
Fractional positions:
Hf (0.000, 0.000, 0.000)
Hf (0.000, 0.000, 0.386)
Hf (0.333, 0.667, 0.836)
Ni (0.004, 0.502, 0.175)
Ni (0.331, 0.166, 0.684)
Ni (0.498, 0.502, 0.175)
Ni (0.498, 0.996, 0.175)
Ni (0.667, 0.333, 0.428)
Ni (0.667, 0.333, 0.933)
Ni (0.834, 0.166, 0.684)
Ni (0.834, 0.669, 0.684)
Au (0.333, 0.667, 0.478)

Calculated values
Symmetry ... No. 156
V ... 162.80 Å³ per cell
Formation energy ... -479 meV/atom

***

# 9
The following is a DFT calculation (GGA-PBE) of an optimized crystal structure of Ba2InRhAu.

Cell: 5.960 5.960 5.129 Å, 90.00 90.00 90.00°
Fractional positions:
Ba (0.000, 0.500, 0.000)
Ba (0.500, 0.000, 0.000)
In (0.000, 0.000, 0.500)
Rh (0.000, 0.000, 0.000)
Au (0.500, 0.500, 0.500)

Calculated values
Symmetry ... No. 123
V ... 182.20 Å³ per cell
Formation energy ... -345 meV/atom

***

# 10
The following is a DFT calculation (GGA-PBE) of an optimized crystal structure of DyGa4Pt2.

Cell: 17.327 4.288 6.687 Å, 90.00 90.00 90.00°
Fractional positions:
Dy (0.142, 0.250, 0.015)
Dy (0.358, 0.750, 0.515)
Dy (0.642, 0.250, 0.485)
Dy (0.858, 0.750, 0.985)
Ga (0.037, 0.750, 0.852)
Ga (0.069, 0.250, 0.485)
Ga (0.185, 0.750, 0.320)
Ga (0.188, 0.750, 0.730)
Ga (0.312, 0.250, 0.230)
Ga (0.315, 0.250, 0.820)
Ga (0.431, 0.750, 0.985)
Ga (0.463, 0.250, 0.352)
Ga (0.537, 0.750, 0.648)
Ga (0.569, 0.250, 0.015)
Ga (0.685, 0.750, 0.180)
Ga (0.688, 0.750, 0.770)
Ga (0.812, 0.250, 0.270)
Ga (0.815, 0.250, 0.680)
Ga (0.931, 0.750, 0.515)
Ga (0.963, 0.250, 0.148)
Pt (0.038, 0.750, 0.248)
Pt (0.216, 0.250, 0.528)
Pt (0.284, 0.750, 0.028)
Pt (0.462, 0.250, 0.748)
Pt (0.538, 0.750, 0.252)
Pt (0.716, 0.250, 0.972)
Pt (0.784, 0.750, 0.472)
Pt (0.962, 0.250, 0.752)

Calculated values
Symmetry ... No. 62
ΔE to the lowest computed polymorph ... 0.000 eV per atom
V ... 496.88 Å³ per cell
Formation energy ... -813 meV/atom

***

# 11
The following is a DFT calculation (GGA-PBE) of an optimized crystal structure of Ca2TaAu.

Cell: 5.095 5.095 5.095 Å, 60.00 60.00 60.00°
Fractional positions:
Ca (0.000, 0.000, 0.000)
Ca (0.250, 0.250, 0.250)
Ta (0.750, 0.750, 0.750)
Au (0.500, 0.500, 0.500)

Calculated values
Symmetry ... No. 216
ΔE to the lowest computed polymorph ... 0.354 eV per atom
V ... 93.55 Å³ per cell
Formation energy ... 481 meV/atom

***

# 12
The following is a DFT calculation (GGA-PBE) of an optimized crystal structure of K2SeI5.

Cell: 7.833 7.833 7.833 Å, 112.66 112.66 103.28°
Fractional positions:
K (0.000, 0.500, 0.500)
K (0.500, 0.000, 0.500)
Se (0.262, 0.262, 0.000)
I (0.011, 0.011, 0.539)
I (0.011, 0.471, 0.000)
I (0.471, 0.011, 0.000)
I (0.471, 0.471, 0.461)
I (0.578, 0.578, 0.000)

Calculated values
Symmetry ... No. 107
Formation energy (no corrections) ... -0.64 eV/atom
V ... 366.76 Å³ per cell